DFT (PBE) results for crystalline Ca3HoPd4 at its relaxed geometry.

a b c (Å): 3.517 3.517 14.175
angles (deg): 90.00 90.00 90.00
Atoms (fractional coordinates):
Ca  0.000  0.000  0.000
Ca  0.000  0.000  0.249
Ca  0.000  0.000  0.751
Ho  0.000  0.000  0.500
Pd  0.500  0.500  0.125
Pd  0.500  0.500  0.386
Pd  0.500  0.500  0.614
Pd  0.500  0.500  0.875

Output
SG: P4/mmm, No. 123
Formation enthalpy at 0 K, eV per atom: -0.757


DFT (PBE) results for crystalline AlSiTe2 at its relaxed geometry.

a b c (Å): 3.282 3.282 9.168
angles (deg): 90.00 90.00 90.00
Atoms (fractional coordinates):
Al  0.000  0.000  0.000
Si  0.500  0.500  0.148
Te  0.000  0.000  0.375
Te  0.500  0.500  0.787

Output
SG: P4mm, No. 99
Formation energy from raw total energies, eV per atom: 0.24
Relative energy among the computed polymorphs, meV per atom: 308


DFT (PBE) results for crystalline Pm8Pr3Nd3 at its relaxed geometry.

a b c (Å): 9.943 9.943 9.943
angles (deg): 146.05 112.69 77.57
Atoms (fractional coordinates):
Pm  0.058  0.397  0.661
Pm  0.061  0.221  0.840
Pm  0.264  0.603  0.661
Pm  0.382  0.221  0.160
Pm  0.618  0.779  0.840
Pm  0.736  0.397  0.339
Pm  0.939  0.779  0.160
Pm  0.942  0.603  0.339
Pr  0.317  0.817  0.500
Pr  0.500  0.500  0.000
Pr  0.683  0.183  0.500
Nd  0.000  0.000  0.000
Nd  0.302  0.000  0.302
Nd  0.698  0.000  0.698

Output
SG: Immm, No. 71
Formation enthalpy at 0 K, eV per atom: 0.097
Relative energy among the computed polymorphs, meV per atom: 0


DFT (PBE) results for crystalline HfMgCdAg at its relaxed geometry.

a b c (Å): 4.829 4.829 4.829
angles (deg): 60.00 60.00 60.00
Atoms (fractional coordinates):
Hf  0.000  0.000  0.000
Mg  0.500  0.500  0.500
Cd  0.250  0.250  0.250
Ag  0.750  0.750  0.750

Output
SG: F-43m, No. 216
Formation enthalpy at 0 K, eV per atom: -0.032


DFT (PBE) results for crystalline AcPr3Nd2 at its relaxed geometry.

a b c (Å): 9.501 9.501 6.938
angles (deg): 103.67 103.67 21.72
Atoms (fractional coordinates):
Ac  0.000  0.000  0.000
Pr  0.000  0.000  0.500
Pr  0.174  0.174  0.849
Pr  0.826  0.826  0.151
Nd  0.337  0.337  0.640
Nd  0.663  0.663  0.360

Output
SG: C2/m, No. 12
Formation enthalpy at 0 K, eV per atom: 0.151
Relative energy among the computed polymorphs, meV per atom: 0


DFT (PBE) results for crystalline Rb2CoGeI6 at its relaxed geometry.

a b c (Å): 8.158 8.158 8.158
angles (deg): 119.93 119.93 90.12
Atoms (fractional coordinates):
Rb  0.250  0.750  0.500
Rb  0.750  0.250  0.500
Co  0.000  0.000  0.000
Ge  0.500  0.500  0.000
I  0.242  0.242  0.000
I  0.242  0.242  0.484
I  0.242  0.758  0.000
I  0.758  0.242  0.000
I  0.758  0.758  0.000
I  0.758  0.758  0.516

Output
SG: I4/mmm, No. 139
Formation energy from raw total energies, eV per atom: -0.62


DFT (PBE) results for crystalline NdNbCo2 at its relaxed geometry.

a b c (Å): 3.133 3.133 7.048
angles (deg): 90.00 90.00 90.00
Atoms (fractional coordinates):
Nd  0.000  0.000  0.000
Nb  0.000  0.000  0.500
Co  0.500  0.500  0.311
Co  0.500  0.500  0.689

Output
SG: P4/mmm, No. 123
Formation enthalpy at 0 K, eV per atom: -0.011


DFT (PBE) results for crystalline KLa2Pm3Te6 at its relaxed geometry.

a b c (Å): 10.231 10.231 9.241
angles (deg): 103.61 103.61 25.50
Atoms (fractional coordinates):
K  0.000  0.000  0.000
La  0.332  0.332  0.662
La  0.668  0.668  0.338
Pm  0.000  0.000  0.500
Pm  0.337  0.337  0.179
Pm  0.663  0.663  0.821
Te  0.164  0.164  0.585
Te  0.172  0.172  0.078
Te  0.500  0.500  0.262
Te  0.500  0.500  0.738
Te  0.828  0.828  0.922
Te  0.836  0.836  0.415

Output
SG: C2/m, No. 12
Formation energy from raw total energies, eV per atom: -1.46


DFT (PBE) results for crystalline Sr2BHPd6 at its relaxed geometry.

a b c (Å): 6.081 6.081 6.037
angles (deg): 119.56 119.56 89.17
Atoms (fractional coordinates):
Sr  0.246  0.754  0.000
Sr  0.754  0.246  0.000
B  0.000  0.000  0.500
H  0.500  0.500  0.500
Pd  0.254  0.746  0.500
Pd  0.255  0.255  0.004
Pd  0.256  0.256  0.507
Pd  0.744  0.744  0.493
Pd  0.745  0.745  0.996
Pd  0.746  0.254  0.500

Output
Final energy, eV/atom: -4.9531
SG: C2/m, No. 12


DFT (PBE) results for crystalline Cu2Te at its relaxed geometry.

a b c (Å): 4.290 4.290 4.290
angles (deg): 59.82 59.82 59.82
Atoms (fractional coordinates):
Cu  0.000  0.000  0.000
Cu  0.248  0.248  0.248
Te  0.498  0.498  0.498

Output
SG: R3m, No. 160
Formation energy from raw total energies, eV per atom: 0.06


DFT (PBE) results for crystalline BaCd2Mo at its relaxed geometry.

a b c (Å): 11.069 11.069 11.069
angles (deg): 16.49 16.49 16.49
Atoms (fractional coordinates):
Ba  0.000  0.000  0.000
Cd  0.238  0.238  0.238
Cd  0.762  0.762  0.762
Mo  0.500  0.500  0.500

Output
SG: R-3m, No. 166
Formation enthalpy at 0 K, eV per atom: 0.660
Relative energy among the computed polymorphs, meV per atom: 202


DFT (PBE) results for crystalline PrTcNiP2 at its relaxed geometry.

a b c (Å): 6.387 6.387 6.387
angles (deg): 144.91 144.91 50.47
Atoms (fractional coordinates):
Pr  0.000  0.000  0.000
Tc  0.750  0.250  0.500
Ni  0.250  0.750  0.500
P  0.361  0.361  0.000
P  0.639  0.639  0.000

Output
SG: I-4m2, No. 119
Formation enthalpy at 0 K, eV per atom: -0.913